# 1
A geometry-optimized As4IrW structure. Source: Alexandria via LeMat-Bulk, functional GGA-PBE.

Lattice parameters (Å, degrees): 5.280 5.280 5.280 60.00 60.00 60.00
Element x y z (fractional)
W 0.000 0.000 0.000
As 0.875 0.375 0.375
As 0.375 0.875 0.375
As 0.375 0.375 0.875
As 0.375 0.375 0.375
Ir 0.750 0.750 0.750

## Properties
Mass density: 10.78 g/cm3
Formation energy: 1.10 eV/atom
Total magnetic moment: 0.0 μB per cell
Volume: 104.1 Å³/cell
E_tot: -5.6353 eV/atom

***

# 2
A geometry-optimized Zr3Ag5S12 structure. Source: Alexandria via LeMat-Bulk, functional GGA-PBE.

Lattice parameters (Å, degrees): 12.978 12.978 12.978 109.47 109.47 109.47
Element x y z (fractional)
S 0.087 0.917 0.359
S 0.417 0.058 0.330
S 0.087 0.170 0.229
S 0.417 0.359 0.587
S 0.442 0.670 0.083
S 0.442 0.771 0.859
S 0.641 0.058 0.229
S 0.083 0.913 0.141
S 0.729 0.141 0.058
S 0.058 0.641 0.729
S 0.229 0.670 0.087
S 0.359 0.942 0.771
S 0.058 0.417 0.830
S 0.583 0.641 0.413
S 0.913 0.830 0.771
S 0.587 0.859 0.417
S 0.558 0.330 0.917
S 0.942 0.359 0.271
S 0.083 0.170 0.442
S 0.729 0.587 0.170
S 0.271 0.859 0.942
S 0.771 0.442 0.359
S 0.558 0.229 0.141
S 0.830 0.913 0.271
S 0.830 0.917 0.058
S 0.330 0.558 0.417
S 0.670 0.442 0.583
S 0.670 0.229 0.587
S 0.641 0.583 0.913
S 0.413 0.141 0.583
S 0.330 0.771 0.413
S 0.942 0.583 0.170
S 0.141 0.729 0.558
S 0.170 0.087 0.729
S 0.587 0.729 0.670
S 0.917 0.087 0.859
S 0.170 0.083 0.942
S 0.771 0.330 0.913
S 0.229 0.558 0.641
S 0.859 0.271 0.442
S 0.859 0.587 0.917
S 0.141 0.413 0.083
S 0.359 0.417 0.087
S 0.583 0.942 0.670
S 0.917 0.830 0.558
S 0.413 0.271 0.330
S 0.913 0.083 0.641
S 0.271 0.413 0.830
Zr 0.250 0.125 0.375
Zr 0.375 0.750 0.625
Zr 0.875 0.750 0.125
Zr 0.125 0.250 0.875
Zr 0.125 0.875 0.750
Zr 0.625 0.375 0.750
Zr 0.625 0.250 0.375
Zr 0.750 0.875 0.625
Zr 0.375 0.625 0.250
Zr 0.250 0.625 0.875
Zr 0.875 0.125 0.250
Zr 0.750 0.375 0.125
Ag 0.750 0.625 0.375
Ag 0.000 0.500 0.000
Ag 0.500 0.500 0.500
Ag 0.125 0.375 0.250
Ag 0.375 0.250 0.125
Ag 0.625 0.875 0.250
Ag 0.000 0.500 0.500
Ag 0.250 0.375 0.625
Ag 0.625 0.750 0.875
Ag 0.500 0.500 0.000
Ag 0.125 0.750 0.375
Ag 0.875 0.625 0.750
Ag 0.500 0.000 0.000
Ag 0.500 0.000 0.500
Ag 0.000 0.000 0.000
Ag 0.250 0.875 0.125
Ag 0.750 0.125 0.875
Ag 0.000 0.000 0.500
Ag 0.875 0.250 0.625
Ag 0.375 0.125 0.750

## Properties
Mass density: 4.73 g/cm3
Total magnetic moment: 0.0 μB per cell
Uncorrected formation energy: -0.44 eV/atom
Volume: 1682.7 Å³/cell
E_tot: -4.9085 eV/atom

***

Which formula does entry 1 have? As4IrW

***

Which formula does entry 1 have? As4IrW

***

mass density of number 1 (As4IrW)? 10.78 g/cm3

***

Which value of volume does entry 2 give? 1682.7 Å³/cell